A plane-wave DFT calculation with GGA-PBE was carried out for Ti2V5W4 after structural relaxation.

For the density, the calculation gives 10821 kg/m³. The value obtained for the calculated total energy is -10.228 eV/atom. The energy of formation from the pure elements is 0.062 eV per atom. The density of states at the Fermi level comes out at 14.44 states/eV/cell.

The structure belongs to space group P-1 (No. 2); the cell edges are 2.688, 6.838 and 9.228 Å and the angles 93.09°, 92.00° and 99.96°. Symmetry generates all atoms from Ti at (0.230, 0.230, 0.183), V at (0.000, 0.500, 0.000), V at (0.013, 0.411, 0.722), V at (0.183, 0.047, 0.628), W at (0.394, 0.685, 0.543) and W at (0.478, 0.145, 0.902).

=====

A plane-wave DFT calculation with GGA-PBE was carried out for Sc2MnSe after structural relaxation.

For the density, the calculation gives 5043 kg/m³. As for the formation energy (no corrections): -0.660 eV per atom. The value obtained for the calculated total energy is -6.990 eV/atom. The density of states at the Fermi level comes out at 7.86 states/eV/cell.

The structure belongs to space group Amm2 (No. 38); the cell edges are 3.985, 3.630 and 10.189 Å and the angles 90.00°, 90.00° and 90.00°. Symmetry generates all atoms from Sc at (0.000, 0.000, 0.000), Sc at (0.500, 0.000, 0.290), Mn at (0.000, 0.000, 0.731) and Se at (0.500, 0.000, 0.570).

=====

A plane-wave DFT calculation with GGA-PBE was carried out for ZrBeV3 after structural relaxation.

For the density, the calculation gives 5491 kg/m³. The value obtained for the calculated total energy is -7.393 eV/atom. The energy of formation from the pure elements is 0.533 eV per atom. The offset from the most stable computed form comes out at 0 meV per atom. The density of states at the Fermi level comes out at 7.54 states/eV/cell.

The structure belongs to space group Pm-3m (No. 221); the cell edges are 4.246, 4.246 and 4.246 Å and the angles 90.00°, 90.00° and 90.00°. Symmetry generates all atoms from Zr at (0.000, 0.000, 0.000), Be at (0.500, 0.500, 0.500) and V at (0.000, 0.500, 0.500).

=====

A plane-wave DFT calculation with GGA-PBE was carried out for YMn2Ga2 after structural relaxation.

For the density, the calculation gives 6616 kg/m³. The value obtained for the calculated total energy is -6.314 eV/atom. The energy of formation from the pure elements is -0.142 eV per atom. The offset from the most stable computed form comes out at 0 meV per atom. The density of states at the Fermi level comes out at 9.02 states/eV/cell.

The structure belongs to space group I4/mmm (No. 139); the cell edges are 4.226, 4.226 and 9.508 Å and the angles 90.00°, 90.00° and 90.00°. Symmetry generates all atoms from Y at (0.000, 0.000, 0.000), Mn at (0.000, 0.000, 0.396) and Ga at (0.000, 0.500, 0.250).

=====

A plane-wave DFT calculation with GGA-PBE was carried out for InH2F after structural relaxation.

For the density, the calculation gives 5745 kg/m³. The value obtained for the calculated total energy is -2.764 eV/atom. The offset from the most stable computed form comes out at 859 meV per atom. The density of states at the Fermi level comes out at 7.64 states/eV/cell.

The structure belongs to space group Fm-3m (No. 225); the cell edges are 5.395, 5.395 and 5.395 Å and the angles 90.00°, 90.00° and 90.00°. Symmetry generates all atoms from In at (0.000, 0.000, 0.000), H at (0.250, 0.250, 0.250) and F at (0.000, 0.000, 0.500).

=====

A plane-wave DFT calculation with GGA-PBE was carried out for Ac4Tl2Ag3 after structural relaxation.

For the density, the calculation gives 9593 kg/m³. The value obtained for the calculated total energy is -3.565 eV/atom. The energy of formation from the pure elements is -0.262 eV per atom. The density of states at the Fermi level comes out at 13.98 states/eV/cell.

The structure belongs to space group C2/m (No. 12); the cell edges are 11.098, 5.321 and 9.884 Å and the angles 90.00°, 103.34° and 90.00°. Symmetry generates all atoms from Ac at (0.081, 0.000, 0.356), Ac at (0.137, 0.500, 0.903), Tl at (0.248, 0.500, 0.273), Ag at (0.000, 0.000, 0.000) and Ag at (0.122, 0.500, 0.573).